{
  "formula": "Rb2CaIr",
  "functional": "PBE",
  "state": "relaxed",
  "lattice_angstrom": [[-8.3260, -9.3789, 0.0536], [2.5605, -2.2040, 12.0779], [-4.7930, -4.0916, 6.7809]],
  "species": ["Ca", "Ca", "Ir", "Ir", "Rb", "Rb", "Rb", "Rb"],
  "fractional_positions": [[0.5000, 0.5000, 0.0000], [0.2500, 0.7500, 0.5000], [0.0000, 0.0000, 0.0000], [0.7500, 0.2500, 0.5000], [0.7814, 0.1250, 0.2500], [0.9686, 0.6250, 0.2500], [0.3750, 0.2186, 0.7500], [0.8750, 0.0314, 0.7500]],
  "dft_energy_ev_per_atom": -2.664,
  "e_above_lowest_polymorph_mev_per_atom": 0.0,
  "formation_enthalpy_0k_mev_per_atom": 535.5
}

---

{
  "formula": "RbCaIr3",
  "functional": "PBE",
  "state": "relaxed",
  "lattice_angstrom": [[4.9441, 0.0000, 0.0000], [0.0000, 4.9441, 0.0000], [0.0000, 0.0000, 4.9441]],
  "species": ["Ca", "Ir", "Ir", "Ir", "Rb"],
  "fractional_positions": [[0.5000, 0.5000, 0.5000], [0.0000, 0.5000, 0.0000], [0.0000, 0.0000, 0.5000], [0.5000, 0.0000, 0.0000], [0.0000, 0.0000, 0.0000]],
  "dft_energy_ev_per_atom": -3.512,
  "e_above_lowest_polymorph_mev_per_atom": 382.5,
  "formation_enthalpy_0k_mev_per_atom": 2398.0
}

---

{
  "formula": "RbCa2SnIr",
  "functional": "PBE",
  "state": "relaxed",
  "lattice_angstrom": [[-4.5828, 0.5192, -3.3310], [0.0270, -5.6156, -0.9125], [-3.0803, -0.6861, 4.1310]],
  "species": ["Ca", "Ca", "Ir", "Sn", "Rb"],
  "fractional_positions": [[0.0000, 0.5000, 0.0000], [0.5000, 0.0000, 0.0000], [0.0000, 0.0000, 0.0000], [0.0000, 0.0000, 0.5000], [0.5000, 0.5000, 0.5000]],
  "dft_energy_ev_per_atom": -3.819,
  "formation_enthalpy_0k_mev_per_atom": -252.5
}

---

{
  "formula": "RbSr2CaIr",
  "functional": "PBE",
  "state": "relaxed",
  "lattice_angstrom": [[-2.8466, 0.0824, -5.3701], [-5.0242, -2.1889, 2.6296], [-1.8016, 5.3816, 1.0376]],
  "species": ["Sr", "Sr", "Ca", "Ir", "Rb"],
  "fractional_positions": [[0.0000, 0.5000, 0.0000], [0.5000, 0.0000, 0.0000], [0.0000, 0.0000, 0.5000], [0.0000, 0.0000, 0.0000], [0.5000, 0.5000, 0.5000]],
  "dft_energy_ev_per_atom": -3.107,
  "formation_enthalpy_0k_mev_per_atom": -68.6
}

---

{
  "formula": "Rb2CaTiIr",
  "functional": "PBE",
  "state": "relaxed",
  "lattice_angstrom": [[6.7581, 0.0000, 0.0000], [0.0000, 4.9604, 0.0000], [0.0000, 0.0000, 6.7581]],
  "species": ["Ca", "Ir", "Rb", "Rb", "Ti"],
  "fractional_positions": [[0.0000, 0.0000, 0.0000], [0.0000, 0.5000, 0.0000], [0.0000, 0.0000, 0.5000], [0.5000, 0.0000, 0.0000], [0.5000, 0.5000, 0.5000]],
  "dft_energy_ev_per_atom": -2.625,
  "formation_enthalpy_0k_mev_per_atom": 1514.0
}

---

{
  "formula": "RbCaTl2Ir",
  "functional": "PBE",
  "state": "relaxed",
  "lattice_angstrom": [[-3.9577, 3.3012, 1.6783], [-3.5299, -2.6199, -3.1708], [-1.1367, -3.4593, 4.1237]],
  "species": ["Tl", "Tl", "Ir", "Ca", "Rb"],
  "fractional_positions": [[0.0000, 0.5000, 0.0000], [0.5000, 0.0000, 0.0000], [0.0000, 0.0000, 0.0000], [0.0000, 0.0000, 0.5000], [0.5000, 0.5000, 0.5000]],
  "dft_energy_ev_per_atom": -3.391,
  "e_above_lowest_polymorph_mev_per_atom": 0.0,
  "formation_enthalpy_0k_mev_per_atom": -78.3
}